Entry 1:
First-principles (PBE) data for a relaxed RbBaFeB2 crystal, as listed in Alexandria.

a b c (Å): 5.419 5.419 5.115
angles (deg): 90.00 90.00 90.00
Fractional positions:
Rb 0.000 0.000 0.000
Ba 0.500 0.500 0.500
Fe 0.500 0.500 0.000
B 0.000 0.500 0.500
B 0.500 0.000 0.500

Output
energy relative to the elements = 2.43 eV per atom
space-group type = No. 123
density of states at the Fermi level = 1.27 states/eV per atom



Entry 2:
First-principles (PBE) data for a relaxed MgSnRu crystal, as listed in Alexandria.

a b c (Å): 4.506 4.506 3.237
angles (deg): 90.00 90.00 120.00
Fractional positions:
Mg 0.000 0.000 0.000
Sn 0.667 0.333 0.500
Ru 0.333 0.667 0.500

Output
energy relative to the elements = -0.02 eV per atom
space-group type = No. 187
density of states at the Fermi level = 0.67 states/eV per atom



Entry 3:
First-principles (PBE) data for a relaxed Y2Er4Th crystal, as listed in Alexandria.

a b c (Å): 3.582 3.582 19.992
angles (deg): 95.16 95.16 60.01
Fractional positions:
Y 0.000 0.000 0.000
Y 0.094 0.094 0.285
Er 0.190 0.190 0.568
Er 0.286 0.286 0.857
Er 0.714 0.714 0.143
Er 0.809 0.809 0.427
Th 0.905 0.905 0.712

Output
energy relative to the elements = 0.02 eV per atom
offset from the most stable computed form = 0.000 eV/atom
space-group type = No. 8
density of states at the Fermi level = 1.77 states/eV per atom



Entry 4:
First-principles (PBE) data for a relaxed ZnSnSb crystal, as listed in Alexandria.

a b c (Å): 4.235 4.235 4.909
angles (deg): 90.00 90.00 120.00
Fractional positions:
Zn 0.000 0.000 0.000
Sn 0.667 0.333 0.659
Sb 0.333 0.667 0.284

Output
space-group type = No. 156
density of states at the Fermi level = 0.56 states/eV per atom
energy = -9.2 eV/cell